DFT (PBE) results for a geometry-optimized NbV2Ga structure.

Structure (POSCAR):
```
NbV2Ga
1.0
-1.2896 2.2322 -3.5562
-4.9924 -0.0742 1.7639
0.8238 4.4915 2.5205
Ga Nb V
2 2 4
Direct
0.5000 0.5000 0.1870 Ga
0.0000 0.0000 0.8130 Ga
0.5000 0.0000 0.1195 Nb
0.0000 0.5000 0.8805 Nb
0.0000 0.7639 0.3592 V
0.0000 0.2361 0.3592 V
0.5000 0.7361 0.6408 V
0.5000 0.2639 0.6408 V
```

Properties
Formation energy ... -94 meV per atom